A geometry-optimized Mn2CuPb structure, computed with PBE.

a b c (Å): 8.4545 8.4545 8.4545
angles (deg): 21.98 21.98 21.98
Positions (direct):
Mn  0.2358  0.2358  0.2358
Mn  0.7642  0.7642  0.7642
Cu  0.5000  0.5000  0.5000
Pb  0.0000  0.0000  0.0000

Calculated values
Volume: 74.2 Å³ per cell
Total energy: -6.02 eV/atom
DOS at the Fermi energy: 0.492 states/eV/atom
Calculated formation energy: 520 meV per atom